## SmZn12Au6 (PBE)

Data for an optimized crystal structure of SmZn12Au6.

Properties
Electronic total energy in hartree per atom: -0.0846
Symmetry: R-3m, No. 166

```
SmZn12Au6
1.0
-1.286 -4.380 -5.700
-1.158 -4.186 5.871
-5.536 4.763 -0.018
Sm Zn Au
1 12 6
direct
0.000 0.000 0.000 Sm
0.892 0.108 0.500 Zn
0.862 0.616 0.616 Zn
0.616 0.616 0.862 Zn
0.384 0.138 0.384 Zn
0.384 0.384 0.138 Zn
0.138 0.384 0.384 Zn
0.108 0.500 0.892 Zn
0.500 0.892 0.108 Zn
0.108 0.892 0.500 Zn
0.892 0.500 0.108 Zn
0.500 0.108 0.892 Zn
0.616 0.862 0.616 Zn
0.714 0.285 0.285 Au
0.285 0.285 0.714 Au
0.285 0.714 0.285 Au
0.715 0.715 0.286 Au
0.286 0.715 0.715 Au
0.715 0.286 0.715 Au
```

=====

## Sm5ZnAu4 (PBE)

Data for an optimized crystal structure of Sm5ZnAu4.

Properties
Electronic total energy in hartree per atom: -0.1656
Symmetry: P4/mmm, No. 123

```
Sm5ZnAu4
1.0
3.663 0.000 0.000
0.000 3.663 0.000
0.000 0.000 18.367
Sm Zn Au
5 1 4
direct
0.500 0.500 0.098 Sm
0.500 0.500 0.298 Sm
0.500 0.500 0.500 Sm
0.500 0.500 0.702 Sm
0.500 0.500 0.902 Sm
0.000 0.000 0.000 Zn
0.000 0.000 0.196 Au
0.000 0.000 0.400 Au
0.000 0.000 0.600 Au
0.000 0.000 0.804 Au
```

=====

## Sm3Zn2Au3 (PBE)

Data for an optimized crystal structure of Sm3Zn2Au3.

Properties
Electronic total energy in hartree per atom: -0.1464
Symmetry: Cmcm, No. 63

```
Sm3Zn2Au3
1.0
4.525 0.000 0.000
-2.262 5.329 0.000
0.000 0.000 15.149
Sm Zn Au
6 4 6
direct
0.914 0.828 0.397 Sm
0.086 0.172 0.897 Sm
0.914 0.828 0.103 Sm
0.086 0.172 0.603 Sm
0.633 0.265 0.250 Sm
0.367 0.735 0.750 Sm
0.788 0.576 0.900 Zn
0.212 0.424 0.400 Zn
0.788 0.576 0.600 Zn
0.212 0.424 0.100 Zn
0.616 0.232 0.453 Au
0.384 0.768 0.953 Au
0.616 0.232 0.047 Au
0.384 0.768 0.547 Au
0.347 0.695 0.250 Au
0.653 0.305 0.750 Au
```

=====

## Sm2Zn3Au5 (PBE)

Data for an optimized crystal structure of Sm2Zn3Au5.

Properties
Electronic total energy in hartree per atom: -0.1288
Symmetry: Cmc2_1, No. 36

```
Sm2Zn3Au5
1.0
-1.745 3.701 -1.825
-1.905 -3.772 -5.830
-10.069 -4.426 6.153
Sm Zn Au
4 6 10
direct
0.478 0.702 0.955 Sm
0.178 0.769 0.356 Sm
0.822 0.269 0.644 Sm
0.522 0.202 0.045 Sm
0.781 0.818 0.562 Zn
0.617 0.491 0.233 Zn
0.047 0.895 0.095 Zn
0.219 0.318 0.438 Zn
0.953 0.395 0.905 Zn
0.383 0.991 0.767 Zn
0.400 0.375 0.799 Au
0.301 0.593 0.602 Au
0.699 0.093 0.398 Au
0.118 0.187 0.235 Au
0.279 0.017 0.558 Au
0.946 0.018 0.892 Au
0.721 0.517 0.442 Au
0.882 0.687 0.765 Au
0.054 0.518 0.108 Au
0.600 0.875 0.201 Au
```